[1]
{"formula": "SrZnSn2Ru", "functional": "PBE-GGA", "state": "relaxed", "lattice_angstrom": [[5.110, 0.000, 0.000], [0.000, 5.110, 0.000], [0.000, 0.000, 5.753]], "species": ["Sr", "Zn", "Sn", "Sn", "Ru"], "frac_coords": [[0.000, 0.000, 0.000], [0.500, 0.500, 0.000], [0.000, 0.500, 0.500], [0.500, 0.000, 0.500], [0.000, 0.000, 0.500]], "e_tot_ev_per_atom": -4.047, "magnetic_moment_mub_per_cell": 0.00, "e_form_mev_per_atom": 0, "dos_at_fermi_per_ev_atom": 0.5037}



[2]
{"formula": "Na3Ag2Sb3", "functional": "PBE-GGA", "state": "relaxed", "lattice_angstrom": [[2.365, -5.796, 0.000], [2.365, 5.796, 0.000], [0.000, 0.000, 15.566]], "species": ["Na", "Na", "Na", "Na", "Na", "Na", "Ag", "Ag", "Ag", "Ag", "Sb", "Sb", "Sb", "Sb", "Sb", "Sb"], "frac_coords": [[0.080, 0.920, 0.620], [0.080, 0.920, 0.880], [0.364, 0.636, 0.750], [0.636, 0.364, 0.250], [0.920, 0.080, 0.120], [0.920, 0.080, 0.380], [0.211, 0.789, 0.101], [0.211, 0.789, 0.399], [0.789, 0.211, 0.601], [0.789, 0.211, 0.899], [0.342, 0.658, 0.250], [0.387, 0.613, 0.535], [0.387, 0.613, 0.965], [0.613, 0.387, 0.035], [0.613, 0.387, 0.465], [0.658, 0.342, 0.750]], "e_tot_ev_per_atom": -2.990, "magnetic_moment_mub_per_cell": 0.00, "formation_energy_uncorrected_ev_per_atom": -0.237, "e_above_lowest_polymorph_mev_per_atom": 0, "dos_at_fermi_per_ev_atom": 0.4156}



[3]
{"formula": "Zn2InSe", "functional": "PBE-GGA", "state": "relaxed", "lattice_angstrom": [[4.371, 0.000, 0.000], [0.000, 4.371, 0.000], [0.000, 0.000, 8.778]], "species": ["Zn", "Zn", "Zn", "Zn", "In", "In", "Se", "Se"], "frac_coords": [[0.000, 0.500, 0.250], [0.000, 0.500, 0.750], [0.500, 0.000, 0.250], [0.500, 0.000, 0.750], [0.000, 0.000, 0.000], [0.500, 0.500, 0.500], [0.000, 0.000, 0.500], [0.500, 0.500, 0.000]], "e_tot_ev_per_atom": -2.053, "magnetic_moment_mub_per_cell": 0.00, "formation_energy_uncorrected_ev_per_atom": 0.139, "e_above_lowest_polymorph_mev_per_atom": 260, "dos_at_fermi_per_ev_atom": 0.5537}



[4]
{"formula": "Ca2Cd2InHg7", "functional": "PBE-GGA", "state": "relaxed", "lattice_angstrom": [[3.446, -3.373, 0.000], [3.446, 3.373, 0.000], [-0.073, 0.000, 13.549]], "species": ["Ca", "Ca", "Cd", "Cd", "In", "Hg", "Hg", "Hg", "Hg", "Hg", "Hg", "Hg"], "frac_coords": [[0.000, 0.000, 0.182], [0.000, 0.000, 0.818], [0.499, 0.499, 0.196], [0.501, 0.501, 0.804], [0.000, 0.000, 0.500], [0.001, 0.501, 0.340], [0.276, 0.276, 0.000], [0.499, 0.999, 0.660], [0.500, 0.500, 0.500], [0.501, 0.001, 0.340], [0.724, 0.724, 0.000], [0.999, 0.499, 0.660]], "e_tot_ev_per_atom": -1.089, "magnetic_moment_mub_per_cell": 0.00, "e_form_mev_per_atom": -199, "dos_at_fermi_per_ev_atom": 0.3266}



[5]
{"formula": "La3Dy5Y4", "functional": "PBE-GGA", "state": "relaxed", "lattice_angstrom": [[8.049, -3.001, 0.000], [8.049, 3.001, 0.000], [-4.202, 0.000, 8.386]], "species": ["La", "La", "La", "Dy", "Dy", "Dy", "Dy", "Dy", "Y", "Y", "Y", "Y"], "frac_coords": [[0.000, 0.000, 0.000], [0.292, 0.292, 0.769], [0.708, 0.708, 0.231], [0.074, 0.074, 0.696], [0.172, 0.172, 0.389], [0.500, 0.500, 0.000], [0.828, 0.828, 0.611], [0.926, 0.926, 0.304], [0.295, 0.295, 0.126], [0.420, 0.420, 0.562], [0.580, 0.580, 0.438], [0.705, 0.705, 0.874]], "e_tot_ev_per_atom": -5.068, "magnetic_moment_mub_per_cell": 0.14, "e_above_lowest_polymorph_mev_per_atom": 211, "e_form_mev_per_atom": 236, "dos_at_fermi_per_ev_atom": 1.7120}



[6]
{"formula": "RbIn3S", "functional": "PBE-GGA", "state": "relaxed", "lattice_angstrom": [[5.747, 0.000, 0.000], [0.000, 5.747, 0.000], [0.000, 0.000, 5.747]], "species": ["Rb", "In", "In", "In", "S"], "frac_coords": [[0.000, 0.000, 0.000], [0.000, 0.500, 0.500], [0.500, 0.000, 0.500], [0.500, 0.500, 0.000], [0.500, 0.500, 0.500]], "e_tot_ev_per_atom": -2.594, "magnetic_moment_mub_per_cell": 0.00, "formation_energy_uncorrected_ev_per_atom": 0.068, "e_above_lowest_polymorph_mev_per_atom": 0, "dos_at_fermi_per_ev_atom": 0.7824}